# 1
{"formula": "Sc2Tc3B4", "functional": "PBE", "state": "optimized geometry", "cell": [[6.0506, 0.0000, 0.0000], [0.0000, 6.1035, 0.0000], [-1.7745, 0.0000, 5.6174]], "species": ["Sc", "Sc", "Sc", "Sc", "Tc", "Tc", "Tc", "Tc", "Tc", "Tc", "B", "B", "B", "B", "B", "B", "B", "B"], "fractional_positions": [[0.1954, 0.1716, 0.0812], [0.1954, 0.3284, 0.5812], [0.8046, 0.6716, 0.4188], [0.8046, 0.8284, 0.9188], [0.2462, 0.6751, 0.2523], [0.2462, 0.8249, 0.7523], [0.5000, 0.0000, 0.5000], [0.5000, 0.5000, 0.0000], [0.7538, 0.1751, 0.2477], [0.7538, 0.3249, 0.7477], [0.0784, 0.5319, 0.8867], [0.0784, 0.9681, 0.3867], [0.4994, 0.6133, 0.6155], [0.4994, 0.8867, 0.1155], [0.5006, 0.1133, 0.8845], [0.5006, 0.3867, 0.3845], [0.9216, 0.0319, 0.6133], [0.9216, 0.4681, 0.1133]], "e_form_ev_per_atom": -0.640, "dos_at_fermi_per_ev_cell": 6.83}

***

# 2
{"formula": "ScTcB3", "functional": "PBE", "state": "optimized geometry", "cell": [[4.0339, 0.0000, 0.0000], [0.0000, 4.0339, 0.0000], [0.0000, 0.0000, 4.0339]], "species": ["Sc", "Tc", "B", "B", "B"], "fractional_positions": [[0.0000, 0.0000, 0.0000], [0.5000, 0.5000, 0.5000], [0.0000, 0.5000, 0.5000], [0.5000, 0.0000, 0.5000], [0.5000, 0.5000, 0.0000]], "relative_energy_ev_per_fu": 4.82, "e_form_ev_per_atom": 0.318, "dos_at_fermi_per_ev_cell": 1.58}

***

# 3
{"formula": "ScTcB4", "functional": "PBE", "state": "optimized geometry", "cell": [[5.8627, 0.0000, 0.0000], [0.0000, 11.3065, 0.0000], [0.0000, 0.0000, 3.4970]], "species": ["Sc", "Sc", "Sc", "Sc", "Tc", "Tc", "Tc", "Tc", "B", "B", "B", "B", "B", "B", "B", "B", "B", "B", "B", "B", "B", "B", "B", "B"], "fractional_positions": [[0.1303, 0.1484, 0.0000], [0.3697, 0.6484, 0.0000], [0.6303, 0.3516, 0.0000], [0.8697, 0.8516, 0.0000], [0.1371, 0.4111, 0.0000], [0.3629, 0.9111, 0.0000], [0.6371, 0.0889, 0.0000], [0.8629, 0.5889, 0.0000], [0.0184, 0.6957, 0.5000], [0.1156, 0.5497, 0.5000], [0.1323, 0.9696, 0.5000], [0.2056, 0.8139, 0.5000], [0.2944, 0.3139, 0.5000], [0.3677, 0.4696, 0.5000], [0.3844, 0.0497, 0.5000], [0.4816, 0.1957, 0.5000], [0.5184, 0.8043, 0.5000], [0.6156, 0.9503, 0.5000], [0.6323, 0.5304, 0.5000], [0.7056, 0.6861, 0.5000], [0.7944, 0.1861, 0.5000], [0.8677, 0.0304, 0.5000], [0.8844, 0.4503, 0.5000], [0.9816, 0.3043, 0.5000]], "e_form_ev_per_atom": -0.624, "dos_at_fermi_per_ev_cell": 9.81}

***

# 4
{"formula": "Sc2TcB6", "functional": "PBE", "state": "optimized geometry", "cell": [[5.3007, 0.0000, 0.0000], [-2.6503, 4.5905, 0.0000], [0.0000, 0.0000, 3.4533]], "species": ["Sc", "Sc", "Tc", "B", "B", "B", "B", "B", "B"], "fractional_positions": [[0.3333, 0.6667, 0.0000], [0.6667, 0.3333, 0.0000], [0.0000, 0.0000, 0.0000], [0.0000, 0.3279, 0.5000], [0.0000, 0.6721, 0.5000], [0.3279, 0.0000, 0.5000], [0.3279, 0.3279, 0.5000], [0.6721, 0.0000, 0.5000], [0.6721, 0.6721, 0.5000]], "e_form_ev_per_atom": -0.722, "dos_at_fermi_per_ev_cell": 3.01}

***

# 5
{"formula": "Sc2Tc2B", "functional": "PBE", "state": "optimized geometry", "cell": [[6.2583, 0.0000, 0.0000], [0.0000, 6.2583, 0.0000], [0.0000, 0.0000, 4.0494]], "species": ["Sc", "Sc", "Sc", "Sc", "Tc", "Tc", "Tc", "Tc", "B", "B"], "fractional_positions": [[0.1534, 0.3466, 0.0000], [0.3466, 0.8466, 0.0000], [0.6534, 0.1534, 0.0000], [0.8466, 0.6534, 0.0000], [0.1744, 0.6744, 0.5000], [0.3256, 0.1744, 0.5000], [0.6744, 0.8256, 0.5000], [0.8256, 0.3256, 0.5000], [0.0000, 0.0000, 0.0000], [0.5000, 0.5000, 0.0000]], "relative_energy_ev_per_fu": 1.11, "e_form_ev_per_atom": 0.618, "dos_at_fermi_per_ev_cell": 11.38}

***

# 6
{"formula": "ScTc3B", "functional": "PBE", "state": "optimized geometry", "cell": [[4.5757, 0.0000, 0.0000], [0.0000, 4.5757, 0.0000], [0.0000, 0.0000, 4.5757]], "species": ["Sc", "Tc", "Tc", "Tc", "B"], "fractional_positions": [[0.0000, 0.0000, 0.0000], [0.0000, 0.0000, 0.5000], [0.0000, 0.5000, 0.0000], [0.5000, 0.0000, 0.0000], [0.5000, 0.5000, 0.5000]], "e_form_ev_per_atom": 2.690, "dos_at_fermi_per_ev_cell": 5.67}

***

# 7
{"formula": "Sc2Tc2B", "functional": "PBE", "state": "optimized geometry", "cell": [[-1.6881, 1.6881, 7.8830], [1.6881, -1.6881, 7.8830], [1.6881, 1.6881, -7.8830]], "species": ["Sc", "Sc", "Tc", "Tc", "B"], "fractional_positions": [[0.0924, 0.0924, 0.0000], [0.9076, 0.9076, 0.0000], [0.2500, 0.7500, 0.5000], [0.7500, 0.2500, 0.5000], [0.5000, 0.5000, 0.0000]], "relative_energy_ev_per_fu": 0.00, "e_form_ev_per_atom": 0.396, "dos_at_fermi_per_ev_cell": 3.86}

***

# 8
{"formula": "ScTc2B4", "functional": "PBE", "state": "optimized geometry", "cell": [[-1.5031, 1.7487, 6.5891], [1.5031, -1.7487, 6.5891], [1.5031, 1.7487, -6.5891]], "species": ["Sc", "Tc", "Tc", "B", "B", "B", "B"], "fractional_positions": [[0.0000, 0.0000, 0.0000], [0.1841, 0.6841, 0.5000], [0.8159, 0.3159, 0.5000], [0.3559, 0.8559, 0.5000], [0.4285, 0.4285, 0.0000], [0.5715, 0.5715, 0.0000], [0.6441, 0.1441, 0.5000]], "e_form_ev_per_atom": -0.571, "dos_at_fermi_per_ev_cell": 5.18}